(1)
TaVHg: optimized geometry, GGA-PBE.

Geometry as extended XYZ:
```
6
Lattice="5.968 0.000 0.000 2.984 4.067 0.000 2.984 0.000 4.941" Properties=species:S:1:pos:R:3 pbc="T T T"
Ta 7.460 2.034 2.471
Ta 4.476 2.034 2.471
Hg 5.968 1.557 0.000
Hg 2.984 2.511 0.000
V 5.968 0.000 2.963
V 2.984 0.000 1.978
```

Properties
The space-group type is Fmmm. For the total moment, the calculation gives 0.01 Bohr magnetons per cell. Its calculated volume is 19.99 Å³/atom. The calculation puts the energy of formation from the pure elements at 2.05 eV per formula unit.

---

(2)
Ta2VHg: optimized geometry, GGA-PBE.

Geometry as extended XYZ:
```
8
Lattice="-0.134 3.645 -1.452 -2.387 1.077 2.925 6.629 4.851 6.258" Properties=species:S:1:pos:R:3 pbc="T T T"
Ta 1.276 3.587 1.038
Ta 0.147 2.380 3.196
Ta 4.001 5.421 5.277
Ta 2.790 7.759 5.952
Hg 0.000 0.000 0.000
Hg 2.617 5.429 2.771
V -1.261 2.361 0.736
V 1.490 4.145 4.960
```

Properties
The space-group type is I-42d. For the total moment, the calculation gives 0.01 Bohr magnetons per cell. Its calculated volume is 19.17 Å³/atom. The calculation puts the energy of formation from the pure elements at 3.19 eV per formula unit.

---

(3)
Ta2VZnHg: optimized geometry, GGA-PBE.

Geometry as extended XYZ:
```
5
Lattice="5.070 0.000 0.000 0.000 4.570 0.000 0.000 0.000 5.070" Properties=species:S:1:pos:R:3 pbc="T T T"
Zn 0.000 2.285 0.000
V 2.535 2.285 2.535
Hg 0.000 0.000 0.000
Ta 0.000 0.000 2.535
Ta 2.535 0.000 0.000
```

Properties
The space-group type is P4/mmm. For the total moment, the calculation gives 0.00 Bohr magnetons per cell. Its calculated volume is 23.49 Å³/atom. The calculation puts the energy of formation from the pure elements at 10.24 eV per formula unit.

---

(4)
TaHg2W: optimized geometry, GGA-PBE.

Geometry as extended XYZ:
```
4
Lattice="0.000 3.335 3.335 3.335 0.000 3.335 3.335 3.335 0.000" Properties=species:S:1:pos:R:3 pbc="T T T"
Hg 1.667 1.667 1.667
Hg 5.002 5.002 5.002
W 3.335 3.335 3.335
Ta 0.000 0.000 0.000
```

Properties
The space-group type is Fm-3m. The value obtained for the distance to the lowest polymorph of the same formula is 0.529 eV/atom. For the total moment, the calculation gives 0.00 Bohr magnetons per cell. Its calculated volume is 18.54 Å³/atom. The calculation puts the energy of formation from the pure elements at 3.66 eV per formula unit.

---

(5)
TaHg2W: optimized geometry, GGA-PBE.

Geometry as extended XYZ:
```
4
Lattice="4.502 0.000 0.000 0.000 2.865 0.032 0.000 2.777 5.776" Properties=species:S:1:pos:R:3 pbc="T T T"
Hg 0.000 2.779 5.766
Hg 0.000 2.819 2.913
Ta 2.251 1.410 1.452
W 2.251 4.231 4.356
```

Properties
The space-group type is P2/m. The value obtained for the distance to the lowest polymorph of the same formula is 0.219 eV/atom. For the total moment, the calculation gives 0.00 Bohr magnetons per cell. Its calculated volume is 18.52 Å³/atom. The calculation puts the energy of formation from the pure elements at 2.42 eV per formula unit.

---

(6)
TaHgW: optimized geometry, GGA-PBE.

Geometry as extended XYZ:
```
3
Lattice="-2.337 6.967 -1.021 -4.296 5.820 0.688 1.693 1.553 1.673" Properties=species:S:1:pos:R:3 pbc="T T T"
Hg -6.628 12.780 -0.331
Ta -3.908 9.110 0.324
W -1.038 5.238 1.015
```

Properties
The space-group type is Fmm2. The value obtained for the distance to the lowest polymorph of the same formula is 0.000 eV/atom. For the total moment, the calculation gives 0.00 Bohr magnetons per cell. Its calculated volume is 18.26 Å³/atom. The calculation puts the energy of formation from the pure elements at 1.18 eV per formula unit.

---

(7)
Ta3HgW: optimized geometry, GGA-PBE.

Geometry as extended XYZ:
```
5
Lattice="4.917 0.000 0.000 0.000 4.917 0.000 0.000 0.000 4.917" Properties=species:S:1:pos:R:3 pbc="T T T"
Hg 0.000 0.000 0.000
W 2.459 2.459 2.459
Ta 0.000 2.459 0.000
Ta 0.000 0.000 2.459
Ta 2.459 0.000 0.000
```

Properties
The space-group type is Pm-3m. The value obtained for the distance to the lowest polymorph of the same formula is 1.119 eV/atom. For the total moment, the calculation gives 0.00 Bohr magnetons per cell. Its calculated volume is 23.78 Å³/atom. The calculation puts the energy of formation from the pure elements at 13.04 eV per formula unit.

---

(8)
TaHg2W: optimized geometry, GGA-PBE.

Geometry as extended XYZ:
```
4
Lattice="-0.862 3.459 0.426 -3.290 -0.663 -1.275 -1.858 -1.125 5.377" Properties=species:S:1:pos:R:3 pbc="T T T"
Hg -1.853 -1.122 5.362
Hg -0.934 -0.566 2.704
Ta -2.541 1.117 0.920
W -3.469 0.554 3.608
```

Properties
The space-group type is P4/mmm. The value obtained for the distance to the lowest polymorph of the same formula is 0.458 eV/atom. For the total moment, the calculation gives 0.00 Bohr magnetons per cell. Its calculated volume is 18.69 Å³/atom. The calculation puts the energy of formation from the pure elements at 3.38 eV per formula unit.

---

(9)
TaHg2W: optimized geometry, GGA-PBE.

Geometry as extended XYZ:
```
4
Lattice="-2.923 2.216 -3.044 -4.201 -1.954 -1.120 -4.042 1.969 1.582" Properties=species:S:1:pos:R:3 pbc="T T T"
Hg 0.000 0.000 0.000
Hg -2.791 0.558 -0.646
Ta -5.583 1.116 -1.291
W -8.374 1.674 -1.937
```

Properties
The space-group type is F-43m. The value obtained for the distance to the lowest polymorph of the same formula is 0.477 eV/atom. For the total moment, the calculation gives 0.00 Bohr magnetons per cell. Its calculated volume is 19.14 Å³/atom. The calculation puts the energy of formation from the pure elements at 3.45 eV per formula unit.

---

(10)
TaHg2W: optimized geometry, GGA-PBE.

Geometry as extended XYZ:
```
4
Lattice="2.861 0.000 0.000 0.000 4.341 0.000 0.000 0.000 6.156" Properties=species:S:1:pos:R:3 pbc="T T T"
Hg 0.000 0.000 6.113
Hg 1.431 2.170 1.569
Ta 0.000 0.000 3.202
W 1.431 2.170 4.506
```

Properties
The space-group type is Pmm2. The value obtained for the distance to the lowest polymorph of the same formula is 0.209 eV/atom. For the total moment, the calculation gives 0.00 Bohr magnetons per cell. Its calculated volume is 19.11 Å³/atom. The calculation puts the energy of formation from the pure elements at 2.38 eV per formula unit.

---

(11)
Ta3HgW: optimized geometry, GGA-PBE.

Geometry as extended XYZ:
```
5
Lattice="4.883 0.000 0.000 0.000 4.883 0.000 0.000 0.000 4.883" Properties=species:S:1:pos:R:3 pbc="T T T"
Hg 2.441 2.441 2.441
W 0.000 0.000 0.000
Ta 0.000 2.441 0.000
Ta 0.000 0.000 2.441
Ta 2.441 0.000 0.000
```

Properties
The space-group type is Pm-3m. The value obtained for the distance to the lowest polymorph of the same formula is 0.000 eV/atom. For the total moment, the calculation gives 0.00 Bohr magnetons per cell. Its calculated volume is 23.28 Å³/atom. The calculation puts the energy of formation from the pure elements at 7.45 eV per formula unit.

---

(12)
TaHg2W: optimized geometry, GGA-PBE.

Geometry as extended XYZ:
```
4
Lattice="5.336 -0.002 -0.084 2.254 4.836 0.084 -3.771 -2.455 2.869" Properties=species:S:1:pos:R:3 pbc="T T T"
Hg 7.590 4.834 0.000
Hg 3.796 2.417 0.000
Ta 2.680 -0.020 1.393
W 1.139 2.399 1.477
```

Properties
The space-group type is Immm. The value obtained for the distance to the lowest polymorph of the same formula is 0.216 eV/atom. For the total moment, the calculation gives 0.00 Bohr magnetons per cell. Its calculated volume is 18.52 Å³/atom. The calculation puts the energy of formation from the pure elements at 2.41 eV per formula unit.

---

(13)
TaHg2W: optimized geometry, GGA-PBE.

Geometry as extended XYZ:
```
4
Lattice="5.265 -0.072 0.070 4.362 2.950 0.070 0.915 0.273 4.772" Properties=species:S:1:pos:R:3 pbc="T T T"
Hg 0.929 0.278 4.761
Hg 5.256 1.571 2.468
Ta 2.635 0.788 1.228
W 7.906 2.363 3.684
```

Properties
The space-group type is C2/m. The value obtained for the distance to the lowest polymorph of the same formula is 0.216 eV/atom. For the total moment, the calculation gives 0.00 Bohr magnetons per cell. Its calculated volume is 18.85 Å³/atom. The calculation puts the energy of formation from the pure elements at 2.41 eV per formula unit.

---

(14)
TaHg2W: optimized geometry, GGA-PBE.

Geometry as extended XYZ:
```
4
Lattice="-0.308 2.592 -1.189 -0.686 -1.228 -2.499 -8.714 0.050 2.367" Properties=species:S:1:pos:R:3 pbc="T T T"
Hg -8.693 0.050 2.361
Hg -4.378 0.025 1.189
Ta -2.676 0.694 -1.252
W -7.033 0.720 -0.069
```

Properties
The space-group type is P4/mmm. The value obtained for the distance to the lowest polymorph of the same formula is 0.257 eV/atom. For the total moment, the calculation gives 0.00 Bohr magnetons per cell. Its calculated volume is 18.57 Å³/atom. The calculation puts the energy of formation from the pure elements at 2.57 eV per formula unit.

---

(15)
TaHgW3: optimized geometry, GGA-PBE.

Geometry as extended XYZ:
```
5
Lattice="4.842 0.000 0.000 0.000 4.842 0.000 0.000 0.000 4.842" Properties=species:S:1:pos:R:3 pbc="T T T"
Hg 0.000 0.000 0.000
W 0.000 2.421 0.000
W 0.000 0.000 2.421
W 2.421 0.000 0.000
Ta 2.421 2.421 2.421
```

Properties
The space-group type is Pm-3m. The value obtained for the distance to the lowest polymorph of the same formula is 0.794 eV/atom. For the total moment, the calculation gives 0.00 Bohr magnetons per cell. Its calculated volume is 22.71 Å³/atom. The calculation puts the energy of formation from the pure elements at 15.29 eV per formula unit.